# Na2SiSe

Na2SiSe after structural relaxation (GGA-PBEsol, Alexandria).

Calculated values
* SG: Fm-3m, No. 225
* mass density: 2.994 g cm⁻³
* volume: 85 Å³/f.u.
* E_form (uncorrected): -12 meV per atom

Geometry as POSCAR:
```
Na2SiSe
1.0
4.9325 0.0000 0.0000
2.4663 4.2717 0.0000
2.4663 1.4239 4.0274
Na Se Si
2 1 1
Direct
0.2500 0.2500 0.2500
0.7500 0.7500 0.7500
0.5000 0.5000 0.5000
0.0000 0.0000 0.0000
```